1.
Entry from Alexandria via LeMat-Bulk: a relaxed structure of VMo3W9 (PBE).

a b c (Å): 2.7019 12.1214 14.3857
angles (deg): 90.85 85.98 68.57
Last column: nearest neighbours and their distance in Å.
Fractional positions:
V  0.1103  0.4962  0.9934  6 W 2.65-2.83, 2 V 2.70
V  0.1107  0.9962  0.4935  6 W 2.65-2.83, 2 V 2.70
Mo  0.9374  0.6347  0.7069  5 W 2.70-2.79, 3 Mo 2.70-2.77
Mo  0.9371  0.1350  0.2070  5 W 2.70-2.79, 3 Mo 2.70-2.77
Mo  0.2182  0.8501  0.7827  4 W 2.69-2.79, 3 Mo 2.70-2.77
Mo  0.2178  0.3503  0.2827  4 W 2.69-2.79, 3 Mo 2.70-2.77
Mo  0.6221  0.2410  0.7387  6 W 2.68-2.88, 2 Mo 2.70
Mo  0.6217  0.7413  0.2386  6 W 2.68-2.88, 2 Mo 2.70
W  0.1305  0.1746  0.3866  1 V 2.69, 2 Mo 2.69-2.74, 5 W 2.70-2.98
W  0.1307  0.6745  0.8866  1 V 2.68, 2 Mo 2.69-2.74, 5 W 2.70-2.98
W  0.3142  0.2783  0.9216  6 W 2.66-2.71, 1 V 2.67, 1 Mo 2.68
W  0.3142  0.7784  0.4216  6 W 2.66-2.71, 1 V 2.67, 1 Mo 2.68
W  0.2914  0.0287  0.6688  1 V 2.65, 2 Mo 2.68-2.79, 5 W 2.70-2.80
W  0.2909  0.5290  0.1687  1 V 2.65, 2 Mo 2.68-2.79, 5 W 2.70-2.80
W  0.4017  0.7090  0.0588  1 V 2.70, 6 W 2.70-2.98, 1 Mo 2.75
W  0.4021  0.2087  0.5589  1 V 2.69, 6 W 2.70-2.98, 1 Mo 2.75
W  0.8397  0.9599  0.3128  5 W 2.69-2.79, 2 Mo 2.71-2.85, 1 V 2.82
W  0.8398  0.4597  0.8128  5 W 2.69-2.79, 2 Mo 2.71-2.85, 1 V 2.82
W  0.9843  0.8141  0.6019  5 W 2.66-2.93, 2 Mo 2.70-2.78, 1 V 2.83
W  0.9840  0.3143  0.1019  5 W 2.66-2.93, 2 Mo 2.70-2.78, 1 V 2.83
W  0.4673  0.5593  0.3505  6 W 2.70-2.92, 3 Mo 2.72-3.01
W  0.4679  0.0590  0.8506  6 W 2.70-2.92, 3 Mo 2.72-3.02
W  0.6596  0.4192  0.6293  6 W 2.70-3.00, 2 Mo 2.72-2.79
W  0.6594  0.9194  0.1294  6 W 2.70-3.00, 2 Mo 2.72-2.79
W  0.8059  0.0922  0.0257  8 W 2.70-3.00, 1 Mo 2.72
W  0.8058  0.5920  0.5256  8 W 2.70-3.00, 1 Mo 2.72

Values from the calculation:
Total energy ... -308.56 eV per cell
Symmetry ... No. 1


2.
Entry from Alexandria via LeMat-Bulk: a relaxed structure of V3Mo8W3 (PBE).

a b c (Å): 4.6268 7.3709 7.3709
angles (deg): 86.92 71.71 71.71
Last column: nearest neighbours and their distance in Å.
Fractional positions:
V  0.5000  0.0000  0.0000  4 Mo 2.71, 4 V 2.72
V  0.0000  0.8595  0.1405  2 W 2.54, 6 Mo 2.68-2.83, 2 V 2.72
V  0.0000  0.1405  0.8595  2 W 2.54, 6 Mo 2.68-2.83, 2 V 2.72
Mo  0.6393  0.0931  0.6284  4 Mo 2.49-2.73, 1 V 2.71
Mo  0.3607  0.9069  0.3716  4 Mo 2.49-2.73, 1 V 2.71
Mo  0.6393  0.6284  0.0931  4 Mo 2.49-2.73, 1 V 2.71
Mo  0.3607  0.3716  0.9069  4 Mo 2.49-2.73, 1 V 2.71
Mo  0.8712  0.7538  0.5039  5 Mo 2.49-2.73, 1 V 2.68
Mo  0.1288  0.2462  0.4961  5 Mo 2.49-2.73, 1 V 2.68
Mo  0.8712  0.5039  0.7538  5 Mo 2.49-2.73, 1 V 2.68
Mo  0.1288  0.4961  0.2462  5 Mo 2.49-2.73, 1 V 2.68
W  0.5000  0.5000  0.5000  2 W 2.73, 12 Mo 2.92-3.03
W  0.7825  0.2175  0.2175  2 V 2.54, 1 W 2.73
W  0.2175  0.7825  0.7825  2 V 2.54, 1 W 2.73

Values from the calculation:
Total energy ... -145.71 eV per cell
Symmetry ... No. 71


3.
Entry from Alexandria via LeMat-Bulk: a relaxed structure of V3Mo2W6 (PBE).

a b c (Å): 4.4141 2.7319 14.3192
angles (deg): 97.15 98.87 90.00
Last column: nearest neighbours and their distance in Å.
Fractional positions:
V  0.0000  0.0000  0.0000  4 Mo 2.69, 2 W 2.71, 2 V 2.73
V  0.8184  0.0895  0.6368  6 W 2.69-2.71, 2 V 2.73
V  0.1816  0.9105  0.3632  6 W 2.69-2.71, 2 V 2.73
Mo  0.4554  0.2733  0.9107  3 Mo 2.67-2.73, 2 V 2.69, 3 W 2.71-2.76
Mo  0.5446  0.7267  0.0893  3 Mo 2.67-2.73, 2 V 2.69, 3 W 2.71-2.76
W  0.6374  0.1817  0.2748  2 V 2.69, 5 W 2.69-2.73, 1 Mo 2.76
W  0.0908  0.4587  0.1817  2 V 2.71, 2 Mo 2.71, 4 W 2.73
W  0.3626  0.8183  0.7252  2 V 2.69, 5 W 2.69-2.73, 1 Mo 2.76
W  0.9092  0.5413  0.8183  2 V 2.71, 2 Mo 2.71, 4 W 2.73
W  0.7276  0.6372  0.4552  5 W 2.69-2.73, 3 V 2.71
W  0.2724  0.3628  0.5448  5 W 2.69-2.73, 3 V 2.71

Values from the calculation:
Total energy ... -127.72 eV per cell
Symmetry ... No. 12


4.
Entry from Alexandria via LeMat-Bulk: a relaxed structure of V3Mo5W2 (PBE).

a b c (Å): 4.8872 8.6662 8.6662
angles (deg): 102.12 73.62 73.62
Last column: nearest neighbours and their distance in Å.
Fractional positions:
V  0.2576  0.5673  0.9176  3 Mo 2.51-2.66, 1 W 2.57
V  0.7575  0.9176  0.5673  3 Mo 2.51-2.66, 1 W 2.57
V  0.7425  0.4327  0.0824  3 Mo 2.51-2.66, 1 W 2.57
V  0.2424  0.0824  0.4327  3 Mo 2.51-2.66, 1 W 2.57
V  0.2500  0.0000  0.0000  2 Mo 2.38, 2 V 2.44
V  0.7500  0.0000  0.0000  2 Mo 2.38, 2 V 2.44
Mo  0.4075  0.2656  0.9195  3 V 2.51-2.78, 1 W 2.71
Mo  0.9075  0.9195  0.2656  3 V 2.51-2.78, 1 W 2.71
Mo  0.5925  0.7344  0.0805  3 V 2.51-2.78, 1 W 2.71
Mo  0.0925  0.0805  0.7344  3 V 2.51-2.78, 1 W 2.71
Mo  0.4944  0.7556  0.7556  3 V 2.38-2.66, 3 Mo 2.44-2.49
Mo  0.5056  0.2444  0.2444  3 V 2.38-2.66, 3 Mo 2.44-2.49
Mo  0.7500  0.5000  0.5000  4 Mo 2.44-2.49
Mo  0.2500  0.5000  0.5000  4 Mo 2.44-2.49
Mo  0.0056  0.2444  0.2444  3 V 2.38-2.66, 3 Mo 2.44-2.49
Mo  0.9944  0.7556  0.7556  3 V 2.38-2.66, 3 Mo 2.44-2.49
W  0.0913  0.5850  0.2323  3 V 2.57-2.85, 3 Mo 2.71-2.82
W  0.5913  0.2323  0.5850  3 V 2.57-2.85, 3 Mo 2.71-2.82
W  0.9087  0.4150  0.7677  3 V 2.57-2.85, 3 Mo 2.71-2.82
W  0.4087  0.7677  0.4150  3 V 2.57-2.85, 3 Mo 2.71-2.82

Values from the calculation:
Total energy ... -205.64 eV per cell
Symmetry ... No. 72


5.
Entry from Alexandria via LeMat-Bulk: a relaxed structure of V6MoW (PBE).

a b c (Å): 6.9428 6.9396 4.8608
angles (deg): 44.52 44.49 59.95
Last column: nearest neighbours and their distance in Å.
Fractional positions:
V  0.9983  0.5026  0.7491  2 V 2.43, 1 Mo 2.69, 1 W 2.69
V  0.7499  0.9989  0.7487  2 V 2.43, 1 Mo 2.69, 1 W 2.70
V  0.4980  0.2502  0.2506  2 V 2.43-2.44, 1 W 2.69, 1 Mo 2.69
V  0.2501  0.0011  0.2513  2 V 2.43, 1 Mo 2.69, 1 W 2.70
V  0.0017  0.4974  0.2509  2 V 2.43, 1 Mo 2.69, 1 W 2.69
V  0.5020  0.7498  0.7494  2 V 2.43-2.44, 1 W 2.69, 1 Mo 2.69
Mo  0.0000  0.0000  0.0000  12 V 2.69-2.75
W  0.5000  0.5000  0.5000  12 V 2.69-2.75

Values from the calculation:
Symmetry ... No. 2
ΔE to the lowest computed polymorph ... 102.8 meV/atom


6.
Entry from Alexandria via LeMat-Bulk: a relaxed structure of V3Mo4W (PBE).

a b c (Å): 4.3910 6.1990 8.7826
angles (deg): 90.00 90.00 90.00
Last column: nearest neighbours and their distance in Å.
Fractional positions:
Mo  0.5000  0.7532  0.0000  6 V 2.68-2.70, 2 W 2.70
Mo  0.5000  0.7532  0.5000  6 V 2.68-2.70, 2 W 2.70
Mo  0.5000  0.2468  0.0000  6 V 2.68-2.70, 2 W 2.70
Mo  0.5000  0.2468  0.5000  6 V 2.68-2.70, 2 W 2.70
Mo  0.0000  0.7532  0.7500  6 V 2.68-2.70, 2 W 2.70
Mo  0.0000  0.7532  0.2500  6 V 2.68-2.70, 2 W 2.70
Mo  0.0000  0.2468  0.2500  6 V 2.68-2.70, 2 W 2.70
Mo  0.0000  0.2468  0.7500  6 V 2.68-2.70, 2 W 2.70
W  0.0000  0.5000  0.0000  8 Mo 2.70
W  0.0000  0.5000  0.5000  8 Mo 2.70
V  0.0000  0.0000  0.0000  8 Mo 2.68
V  0.0000  0.0000  0.5000  8 Mo 2.68
V  0.5000  0.0000  0.7500  8 Mo 2.68
V  0.5000  0.0000  0.2500  8 Mo 2.68
V  0.5000  0.5000  0.7500  8 Mo 2.70
V  0.5000  0.5000  0.2500  8 Mo 2.70

Values from the calculation:
Symmetry ... No. 123
ΔE to the lowest computed polymorph ... 0.0 meV/atom


7.
Entry from Alexandria via LeMat-Bulk: a relaxed structure of V2Mo5W4 (PBE).

a b c (Å): 2.9742 6.9339 8.6718
angles (deg): 79.74 90.00 90.00
Last column: nearest neighbours and their distance in Å.
Fractional positions:
V  0.0000  0.9334  0.6208  1 V 2.13
V  0.0000  0.0666  0.3792  1 V 2.13
Mo  0.0000  0.4326  0.3145  1 V 2.50, 2 Mo 2.68-2.79, 2 W 2.78
Mo  0.0000  0.8102  0.1360  2 Mo 2.63-2.79, 6 W 2.72-2.78
Mo  0.0000  0.5000  0.0000  4 Mo 2.63-2.68, 4 W 2.90
Mo  0.0000  0.1898  0.8640  2 Mo 2.63-2.79, 6 W 2.72-2.78
Mo  0.0000  0.5674  0.6855  1 V 2.50, 2 Mo 2.68-2.79, 2 W 2.78
W  0.5000  0.2692  0.5919  4 V 2.74-2.92, 6 Mo 2.76-2.88, 2 W 2.97
W  0.5000  0.8503  0.8700  2 V 2.60, 6 Mo 2.72-2.90
W  0.5000  0.7308  0.4081  4 V 2.74-2.92, 6 Mo 2.76-2.88, 2 W 2.97
W  0.5000  0.1497  0.1300  2 V 2.60, 6 Mo 2.72-2.90

Values from the calculation:
Symmetry ... No. 10
ΔE to the lowest computed polymorph ... 0.0 meV/atom


8.
Entry from Alexandria via LeMat-Bulk: a relaxed structure of V2MoW (PBE).

a b c (Å): 2.9401 2.9401 8.2699
angles (deg): 79.76 79.76 60.00
Last column: nearest neighbours and their distance in Å.
Fractional positions:
Mo  0.0000  0.0000  0.0000  6 V 2.63, 6 Mo 2.94
W  0.5000  0.5000  0.5000  6 V 2.66, 6 W 2.94
V  0.2508  0.2508  0.2477  3 Mo 2.63, 3 W 2.66, 6 V 2.94
V  0.7492  0.7492  0.7523  3 Mo 2.63, 3 W 2.66, 6 V 2.94

Values from the calculation:
Symmetry ... No. 166
ΔE to the lowest computed polymorph ... 370.6 meV/atom


9.
Entry from Alexandria via LeMat-Bulk: a relaxed structure of V4Mo3W (PBE).

a b c (Å): 3.0704 4.3543 8.7055
angles (deg): 90.00 90.00 90.00
Last column: nearest neighbours and their distance in Å.
Fractional positions:
Mo  0.5000  0.0000  0.2497  8 V 2.66-2.67
Mo  0.5000  0.5000  0.5000  8 V 2.66
Mo  0.5000  0.0000  0.7503  8 V 2.66-2.67
W  0.5000  0.5000  0.0000  8 V 2.66-2.67
V  0.0000  0.0000  0.5000  8 Mo 2.66-2.67
V  0.0000  0.5000  0.7490  6 Mo 2.66, 2 W 2.67
V  0.0000  0.0000  0.0000  4 Mo 2.66, 4 W 2.66
V  0.0000  0.5000  0.2510  6 Mo 2.66, 2 W 2.67

Values from the calculation:
Total energy ... -82.88 eV per cell
Symmetry ... No. 47


10.
Entry from Alexandria via LeMat-Bulk: a relaxed structure of VMo2W (PBE).

a b c (Å): 4.4243 4.4243 4.4243
angles (deg): 60.00 60.00 60.00
Last column: nearest neighbours and their distance in Å.
Fractional positions:
Mo  0.2500  0.2500  0.2500  4 W 2.71, 4 V 2.71
Mo  0.7500  0.7500  0.7500  4 W 2.71, 4 V 2.71
W  0.5000  0.5000  0.5000  8 Mo 2.71
V  0.0000  0.0000  0.0000  8 Mo 2.71

Values from the calculation:
Symmetry ... No. 225
ΔE to the lowest computed polymorph ... 0.0 meV/atom


| no. | DOS(E_F) (states/eV/atom) |
| --- | --- |
| 1 | 0.64 |
| 2 | 1.18 |
| 3 | 0.50 |
| 4 | 0.93 |
| 5 | 1.33 |
| 6 | 0.59 |
| 7 | 0.98 |
| 8 | 1.24 |
| 9 | 0.79 |
| 10 | 0.56 |